Entry 1:
Density functional theory data (GGA-PBE) for MgMnMoRu after structural relaxation.

a b c (Å): 4.327 4.327 4.327
angles (deg): 60.00 60.00 60.00
Fractional coordinates of all 4 atoms:
Mg 0.000 0.000 0.000
Mo 0.500 0.500 0.500
Mn 0.250 0.250 0.250
Ru 0.750 0.750 0.750

Computed properties:
The value obtained for the formation energy from the elements is 0.11 eV per atom.

Entry 2:
Density functional theory data (GGA-PBE) for MgMnMoS4 after structural relaxation.

a b c (Å): 7.398 7.398 7.398
angles (deg): 121.06 119.87 89.20
Fractional coordinates of all 14 atoms:
S 0.255 0.275 0.520
Mn 0.500 0.500 0.500
Mg 0.115 0.865 0.250
Mg 0.885 0.135 0.750
S 0.745 0.265 0.020
S 0.291 0.265 0.026
S 0.709 0.735 0.974
S 0.739 0.265 0.474
S 0.261 0.735 0.526
Mo 0.000 0.500 0.500
Mo 0.500 0.500 0.000
S 0.255 0.735 0.980
Mn 0.500 0.000 0.000
S 0.745 0.725 0.480

Computed properties:
For the formation energy (no corrections), the calculation gives -0.6871 eV per atom.

Entry 3:
Density functional theory data (GGA-PBE) for Mg2Mn3MoS8 after structural relaxation.

a b c (Å): 7.383 7.383 7.383
angles (deg): 59.21 59.21 59.21
Fractional coordinates of all 14 atoms:
Mg 0.869 0.869 0.869
S 0.266 0.266 0.266
S 0.720 0.262 0.262
Mn 0.000 0.500 0.500
S 0.738 0.738 0.280
Mn 0.500 0.000 0.500
Mg 0.131 0.131 0.131
S 0.738 0.280 0.738
S 0.280 0.738 0.738
S 0.262 0.262 0.720
S 0.734 0.734 0.734
Mo 0.500 0.500 0.500
S 0.262 0.720 0.262
Mn 0.500 0.500 0.000

Computed properties:
For the formation energy (no corrections), the calculation gives -0.7235 eV per atom.

Entry 4:
Density functional theory data (GGA-PBE) for MgTi2MnMo after structural relaxation.

a b c (Å): 4.639 4.136 4.639
angles (deg): 90.00 90.00 90.00
Fractional coordinates of all 5 atoms:
Ti 0.500 0.000 0.000
Mo 0.500 0.500 0.500
Ti 0.000 0.000 0.500
Mg 0.000 0.000 0.000
Mn 0.000 0.500 0.000

Computed properties:
The value obtained for the formation energy from the elements is 1.71 eV per atom.